## MoPtRh2 (meta-GGA SCAN)

Data for a crystal of MoPtRh2 relaxed with PBEsol.

```
4
Lattice="3.866 0.000 0.000 0.000 3.866 0.000 0.000 0.000 3.789" Properties=species:S:1:pos:R:3 pbc="T T T"
Mo 0.000 0.000 0.000
Pt 1.933 1.933 0.000
Rh 0.000 1.933 1.894
Rh 1.933 0.000 1.894
```

Summary:
The value obtained for the formation energy is -0.24 eV/atom. The calculation puts the uncorrected energy at -43.39 eV per atom. As for the magnetic moment: 0.6 μB/f.u. The space group is P4/mmm (123).


## Mg2InRh (meta-GGA SCAN)

Data for a crystal of Mg2InRh relaxed with PBEsol.

```
4
Lattice="-2.035 2.035 4.181 2.035 -2.035 4.181 2.035 2.035 -4.181" Properties=species:S:1:pos:R:3 pbc="T T T"
Mg 0.000 0.000 0.000
Mg 0.000 2.035 2.090
In 2.035 0.000 2.090
Rh 0.000 0.000 4.181
```

Summary:
The value obtained for the formation energy is -0.45 eV/atom. The calculation puts the uncorrected energy at -19.72 eV per atom. As for the magnetic moment: 0.0 μB/f.u. The space group is I-4m2 (119).


## BeFeRu2 (meta-GGA SCAN)

Data for a crystal of BeFeRu2 relaxed with PBEsol.

```
4
Lattice="2.628 0.000 0.000 0.000 3.632 0.000 0.000 0.000 4.865" Properties=species:S:1:pos:R:3 pbc="T T T"
Be 0.000 0.000 0.000
Fe 1.314 1.816 1.110
Ru 0.000 0.000 2.381
Ru 1.314 1.816 3.691
```

Summary:
The value obtained for the formation energy is -0.01 eV/atom. The calculation puts the uncorrected energy at -23.05 eV per atom. As for the magnetic moment: 2.4 μB/f.u. The space group is Pmm2 (25).


## YTcB2 (meta-GGA SCAN)

Data for a crystal of YTcB2 relaxed with PBEsol.

```
8
Lattice="-2.108 2.108 6.966 2.108 -2.108 6.966 2.108 2.108 -6.966" Properties=species:S:1:pos:R:3 pbc="T T T"
Y 2.108 1.054 1.741
Y 0.000 1.054 5.224
Tc 2.108 -1.054 5.224
Tc 0.000 3.162 1.741
B 0.000 0.000 0.000
B 1.054 1.054 -3.483
B 1.054 -1.054 3.483
B 0.000 2.108 0.000
```

Summary:
The value obtained for the formation energy is -0.07 eV/atom. The calculation puts the uncorrected energy at -19.51 eV per atom. As for the magnetic moment: 0.0 μB/f.u. The space group is I4_1/amd (141).


## TiBe2GaRh (meta-GGA SCAN)

Data for a crystal of TiBe2GaRh relaxed with PBEsol.

```
5
Lattice="4.030 0.000 0.000 0.000 4.030 0.000 0.000 0.000 4.521" Properties=species:S:1:pos:R:3 pbc="T T T"
Ti 0.000 0.000 0.000
Be 0.000 2.015 2.261
Be 2.015 0.000 2.261
Ga 2.015 2.015 2.261
Rh 2.015 2.015 0.000
```

Summary:
The value obtained for the formation energy is 0.50 eV/atom. The calculation puts the uncorrected energy at -14.47 eV per atom. As for the magnetic moment: 0.0 μB/f.u. The space group is P4/mmm (123).


## Zr2InCu (meta-GGA SCAN)

Data for a crystal of Zr2InCu relaxed with PBEsol.

```
4
Lattice="0.000 3.403 3.403 3.403 0.000 3.403 3.403 3.403 0.000" Properties=species:S:1:pos:R:3 pbc="T T T"
Zr 0.000 0.000 0.000
Zr 1.701 1.701 1.701
In 3.403 3.403 3.403
Cu 5.104 5.104 5.104
```

Summary:
The value obtained for the formation energy is 0.09 eV/atom. The calculation puts the uncorrected energy at -27.41 eV per atom. As for the magnetic moment: 3.7 μB/f.u. The space group is F-43m (216).


## Pt2Rh (meta-GGA SCAN)

Data for a crystal of Pt2Rh relaxed with PBEsol.

```
6
Lattice="5.135 -1.356 0.000 5.135 1.356 0.000 -1.901 0.000 6.269" Properties=species:S:1:pos:R:3 pbc="T T T"
Pt 0.000 0.000 0.000
Pt -0.591 0.000 3.819
Pt 2.143 0.000 4.176
Pt 6.247 0.000 2.061
Rh 3.467 0.000 1.693
Rh 5.638 0.000 5.935
```

Summary:
The value obtained for the formation energy is 0.09 eV/atom. The calculation puts the uncorrected energy at -57.96 eV per atom. As for the magnetic moment: 0.0 μB/f.u. The space group is Cm (8).


## CsCu3Ir (meta-GGA SCAN)

Data for a crystal of CsCu3Ir relaxed with PBEsol.

```
5
Lattice="4.794 0.000 0.000 0.000 4.794 0.000 0.000 0.000 4.794" Properties=species:S:1:pos:R:3 pbc="T T T"
Cs 0.000 0.000 0.000
Cu 0.000 2.397 2.397
Cu 2.397 0.000 2.397
Cu 2.397 2.397 0.000
Ir 2.397 2.397 2.397
```

Summary:
The value obtained for the formation energy is 0.80 eV/atom. The calculation puts the uncorrected energy at -30.10 eV per atom. As for the magnetic moment: 0.0 μB/f.u. The space group is Pm-3m (221).


## La3IrO (meta-GGA SCAN)

Data for a crystal of La3IrO relaxed with PBEsol.

```
5
Lattice="5.507 0.000 0.000 0.000 5.507 0.000 0.000 0.000 5.507" Properties=species:S:1:pos:R:3 pbc="T T T"
La 0.000 0.000 2.754
La 0.000 2.754 0.000
La 2.754 0.000 0.000
Ir 0.000 0.000 0.000
O 2.754 2.754 2.754
```

Summary:
The calculation puts the uncorrected energy at -41.61 eV per atom. As for the magnetic moment: 0.0 μB/f.u. The space group is Pm-3m (221).


## MoAs3Pd (meta-GGA SCAN)

Data for a crystal of MoAs3Pd relaxed with PBEsol.

```
5
Lattice="4.770 0.000 0.000 0.000 4.770 0.000 0.000 0.000 4.770" Properties=species:S:1:pos:R:3 pbc="T T T"
Mo 0.000 0.000 0.000
As 0.000 0.000 2.385
As 0.000 2.385 0.000
As 2.385 0.000 0.000
Pd 2.385 2.385 2.385
```

Summary:
The value obtained for the formation energy is 0.63 eV/atom. The calculation puts the uncorrected energy at -25.02 eV per atom. As for the magnetic moment: 0.0 μB/f.u. The space group is Pm-3m (221).


## TcSnAu3 (meta-GGA SCAN)

Data for a crystal of TcSnAu3 relaxed with PBEsol.

```
5
Lattice="4.929 0.000 0.000 0.000 4.929 0.000 0.000 0.000 4.929" Properties=species:S:1:pos:R:3 pbc="T T T"
Tc 0.000 0.000 0.000
Sn 2.464 2.464 2.464
Au 0.000 0.000 2.464
Au 0.000 2.464 0.000
Au 2.464 0.000 0.000
```

Summary:
The value obtained for the formation energy is 0.95 eV/atom. The calculation puts the uncorrected energy at -54.74 eV per atom. As for the magnetic moment: 2.1 μB/f.u. The space group is Pm-3m (221).


## AgPb2 (meta-GGA SCAN)

Data for a crystal of AgPb2 relaxed with PBEsol.

```
3
Lattice="0.000 3.436 3.436 3.436 0.000 3.436 3.436 3.436 0.000" Properties=species:S:1:pos:R:3 pbc="T T T"
Ag 0.000 0.000 0.000
Pb 1.718 1.718 1.718
Pb 5.153 5.153 5.153
```

Summary:
The value obtained for the formation energy is 0.10 eV/atom. The calculation puts the uncorrected energy at -60.88 eV per atom. As for the magnetic moment: 0.0 μB/f.u. The space group is Fm-3m (225).


- The highest uncorrected energy belongs to which entry?
  TiBe2GaRh


- The lowest uncorrected energy belongs to which entry?
  AgPb2


- Which of these has the highest magnetic moment?
  Zr2InCu